# 1
First-principles (PBE-GGA) data for an optimized crystal structure of CaCu2O4, as listed in Alexandria.

Properties
**Polymorph energy (0 for the lowest one)**: 185 meV per atom
**Formation energy from raw total energies**: -1.120 eV per atom
**Volume**: 11.9 Å³ per atom
**Symmetry**: No. 59

Cell and atoms, written as CIF:
```
data_CaCu2O4
_symmetry_space_group_name_H-M 'P 1'
_symmetry_Int_Tables_number 1
_cell_length_a 5.150
_cell_length_b 5.912
_cell_length_c 10.986
_cell_angle_alpha 90.00
_cell_angle_beta 90.00
_cell_angle_gamma 90.00
loop_
_symmetry_equiv_pos_as_xyz
'x,y,z'
loop_
_atom_site_label
_atom_site_type_symbol
_atom_site_fract_x
_atom_site_fract_y
_atom_site_fract_z
Ca1 Ca 0.854 0.000 0.500
Ca2 Ca 0.146 0.500 0.000
Ca3 Ca 0.535 0.000 0.000
Ca4 Ca 0.465 0.500 0.500
Cu1 Cu 0.505 0.500 0.240
Cu2 Cu 0.505 0.500 0.760
Cu3 Cu 0.495 0.000 0.260
Cu4 Cu 0.495 0.000 0.740
Cu5 Cu 0.000 0.250 0.250
Cu6 Cu 0.000 0.750 0.750
Cu7 Cu 0.000 0.750 0.250
Cu8 Cu 0.000 0.250 0.750
O1 O 0.840 0.500 0.152
O2 O 0.840 0.500 0.848
O3 O 0.160 0.000 0.348
O4 O 0.160 0.000 0.652
O5 O 0.174 0.500 0.339
O6 O 0.174 0.500 0.661
O7 O 0.826 0.000 0.161
O8 O 0.826 0.000 0.839
O9 O 0.665 0.254 0.354
O10 O 0.665 0.746 0.646
O11 O 0.335 0.754 0.146
O12 O 0.335 0.246 0.854
O13 O 0.335 0.246 0.146
O14 O 0.335 0.754 0.854
O15 O 0.665 0.746 0.354
O16 O 0.665 0.254 0.646
```

---

# 2
First-principles (PBE-GGA) data for an optimized crystal structure of Ca2Cu2O5, as listed in Alexandria.

Properties
**Polymorph energy (0 for the lowest one)**: 116 meV per atom
**Formation energy from raw total energies**: -1.561 eV per atom
**Volume**: 11.6 Å³ per atom
**Symmetry**: No. 55

Cell and atoms, written as CIF:
```
data_Ca2Cu2O5
_symmetry_space_group_name_H-M 'P 1'
_symmetry_Int_Tables_number 1
_cell_length_a 3.682
_cell_length_b 5.487
_cell_length_c 10.345
_cell_angle_alpha 90.00
_cell_angle_beta 90.00
_cell_angle_gamma 90.00
loop_
_symmetry_equiv_pos_as_xyz
'x,y,z'
loop_
_atom_site_label
_atom_site_type_symbol
_atom_site_fract_x
_atom_site_fract_y
_atom_site_fract_z
Ca1 Ca 0.500 0.672 0.860
Ca2 Ca 0.500 0.328 0.140
Ca3 Ca 0.500 0.172 0.640
Ca4 Ca 0.500 0.828 0.360
O1 O 0.000 0.000 0.500
O2 O 0.000 0.565 0.285
O3 O 0.000 0.065 0.215
O4 O 0.000 0.935 0.785
O5 O 0.500 0.779 0.090
O6 O 0.500 0.221 0.910
O7 O 0.000 0.435 0.715
O8 O 0.500 0.721 0.590
O9 O 0.000 0.500 0.000
O10 O 0.500 0.279 0.410
Cu1 Cu 0.000 0.711 0.613
Cu2 Cu 0.000 0.289 0.387
Cu3 Cu 0.000 0.789 0.113
Cu4 Cu 0.000 0.211 0.887
```

---

# 3
First-principles (PBE-GGA) data for an optimized crystal structure of Ca4Cu5O10, as listed in Alexandria.

Properties
**Formation energy from raw total energies**: -1.598 eV per atom
**Volume**: 12.7 Å³ per atom
**Symmetry**: No. 64

Cell and atoms, written as CIF:
```
data_Ca4Cu5O10
_symmetry_space_group_name_H-M 'P 1'
_symmetry_Int_Tables_number 1
_cell_length_a 8.784
_cell_length_b 8.784
_cell_length_c 6.471
_cell_angle_alpha 90.00
_cell_angle_beta 90.00
_cell_angle_gamma 105.09
loop_
_symmetry_equiv_pos_as_xyz
'x,y,z'
loop_
_atom_site_label
_atom_site_type_symbol
_atom_site_fract_x
_atom_site_fract_y
_atom_site_fract_z
Ca1 Ca 0.815 0.685 0.750
Ca2 Ca 0.185 0.315 0.250
Ca3 Ca 0.685 0.815 0.250
Ca4 Ca 0.315 0.185 0.750
Ca5 Ca 0.561 0.939 0.750
Ca6 Ca 0.439 0.061 0.250
Ca7 Ca 0.939 0.561 0.250
Ca8 Ca 0.061 0.439 0.750
Cu1 Cu 0.000 0.000 0.000
Cu2 Cu 0.500 0.500 0.500
Cu3 Cu 0.601 0.399 0.977
Cu4 Cu 0.399 0.601 0.023
Cu5 Cu 0.101 0.899 0.523
Cu6 Cu 0.899 0.101 0.477
Cu7 Cu 0.701 0.299 0.462
Cu8 Cu 0.299 0.701 0.538
Cu9 Cu 0.201 0.799 0.038
Cu10 Cu 0.799 0.201 0.962
O1 O 0.382 0.382 0.000
O2 O 0.618 0.618 0.000
O3 O 0.118 0.118 0.500
O4 O 0.882 0.882 0.500
O5 O 0.571 0.177 0.942
O6 O 0.429 0.823 0.058
O7 O 0.323 0.929 0.558
O8 O 0.177 0.571 0.058
O9 O 0.677 0.071 0.442
O10 O 0.823 0.429 0.942
O11 O 0.929 0.323 0.442
O12 O 0.071 0.677 0.558
O13 O 0.717 0.524 0.464
O14 O 0.283 0.476 0.536
O15 O 0.976 0.783 0.036
O16 O 0.524 0.717 0.536
O17 O 0.024 0.217 0.964
O18 O 0.476 0.283 0.464
O19 O 0.783 0.976 0.964
O20 O 0.217 0.024 0.036
```

---

# 4
First-principles (PBE-GGA) data for an optimized crystal structure of CaCu2O4, as listed in Alexandria.

Properties
**Polymorph energy (0 for the lowest one)**: 246 meV per atom
**Formation energy from raw total energies**: -1.058 eV per atom
**Volume**: 12.1 Å³ per atom
**Symmetry**: No. 227

Cell and atoms, written as CIF:
```
data_CaCu2O4
_symmetry_space_group_name_H-M 'P 1'
_symmetry_Int_Tables_number 1
_cell_length_a 6.207
_cell_length_b 6.207
_cell_length_c 6.207
_cell_angle_alpha 60.00
_cell_angle_beta 60.00
_cell_angle_gamma 60.00
loop_
_symmetry_equiv_pos_as_xyz
'x,y,z'
loop_
_atom_site_label
_atom_site_type_symbol
_atom_site_fract_x
_atom_site_fract_y
_atom_site_fract_z
Ca1 Ca 0.500 0.500 0.500
Ca2 Ca 0.750 0.750 0.750
Cu1 Cu 0.125 0.125 0.125
Cu2 Cu 0.125 0.625 0.125
Cu3 Cu 0.125 0.125 0.625
Cu4 Cu 0.625 0.125 0.125
O1 O 0.894 0.318 0.894
O2 O 0.894 0.894 0.318
O3 O 0.318 0.894 0.894
O4 O 0.356 0.356 0.356
O5 O 0.932 0.356 0.356
O6 O 0.356 0.356 0.932
O7 O 0.894 0.894 0.894
O8 O 0.356 0.932 0.356
```

---

# 5
First-principles (PBE-GGA) data for an optimized crystal structure of CaCuO3, as listed in Alexandria.

Properties
**Formation energy from raw total energies**: -0.064 eV per atom
**Volume**: 15.7 Å³ per atom
**Symmetry**: No. 221

Cell and atoms, written as CIF:
```
data_CaCuO3
_symmetry_space_group_name_H-M 'P 1'
_symmetry_Int_Tables_number 1
_cell_length_a 4.282
_cell_length_b 4.282
_cell_length_c 4.282
_cell_angle_alpha 90.00
_cell_angle_beta 90.00
_cell_angle_gamma 90.00
loop_
_symmetry_equiv_pos_as_xyz
'x,y,z'
loop_
_atom_site_label
_atom_site_type_symbol
_atom_site_fract_x
_atom_site_fract_y
_atom_site_fract_z
Ca1 Ca 0.000 0.000 0.000
O1 O 0.000 0.500 0.000
O2 O 0.000 0.000 0.500
O3 O 0.500 0.000 0.000
Cu1 Cu 0.500 0.500 0.500
```

---

# 6
First-principles (PBE-GGA) data for an optimized crystal structure of CaCu2O4, as listed in Alexandria.

Properties
**Polymorph energy (0 for the lowest one)**: 166 meV per atom
**Formation energy from raw total energies**: -1.138 eV per atom
**Volume**: 10.5 Å³ per atom
**Symmetry**: No. 62

Cell and atoms, written as CIF:
```
data_CaCu2O4
_symmetry_space_group_name_H-M 'P 1'
_symmetry_Int_Tables_number 1
_cell_length_a 3.060
_cell_length_b 9.046
_cell_length_c 10.593
_cell_angle_alpha 90.00
_cell_angle_beta 90.00
_cell_angle_gamma 90.00
loop_
_symmetry_equiv_pos_as_xyz
'x,y,z'
loop_
_atom_site_label
_atom_site_type_symbol
_atom_site_fract_x
_atom_site_fract_y
_atom_site_fract_z
Ca1 Ca 0.250 0.740 0.840
Ca2 Ca 0.750 0.260 0.160
Ca3 Ca 0.250 0.240 0.660
Ca4 Ca 0.750 0.760 0.340
Cu1 Cu 0.750 0.916 0.601
Cu2 Cu 0.250 0.584 0.101
Cu3 Cu 0.750 0.416 0.899
Cu4 Cu 0.250 0.084 0.399
Cu5 Cu 0.250 0.060 0.887
Cu6 Cu 0.750 0.940 0.113
Cu7 Cu 0.250 0.560 0.613
Cu8 Cu 0.750 0.440 0.387
O1 O 0.750 0.417 0.574
O2 O 0.250 0.583 0.426
O3 O 0.750 0.917 0.926
O4 O 0.250 0.083 0.074
O5 O 0.750 0.527 0.216
O6 O 0.250 0.473 0.784
O7 O 0.750 0.027 0.284
O8 O 0.250 0.973 0.716
O9 O 0.750 0.117 0.524
O10 O 0.250 0.883 0.476
O11 O 0.750 0.617 0.976
O12 O 0.250 0.383 0.024
O13 O 0.250 0.294 0.340
O14 O 0.750 0.706 0.660
O15 O 0.750 0.206 0.840
O16 O 0.250 0.794 0.160
```

---

# 7
First-principles (PBE-GGA) data for an optimized crystal structure of CaCu2O2, as listed in Alexandria.

Properties
**Polymorph energy (0 for the lowest one)**: 0 meV per atom
**Formation energy from raw total energies**: -1.397 eV per atom
**Volume**: 13.5 Å³ per atom
**Symmetry**: No. 141

Cell and atoms, written as CIF:
```
data_CaCu2O2
_symmetry_space_group_name_H-M 'P 1'
_symmetry_Int_Tables_number 1
_cell_length_a 6.076
_cell_length_b 6.076
_cell_length_c 6.076
_cell_angle_alpha 128.19
_cell_angle_beta 128.19
_cell_angle_gamma 76.31
loop_
_symmetry_equiv_pos_as_xyz
'x,y,z'
loop_
_atom_site_label
_atom_site_type_symbol
_atom_site_fract_x
_atom_site_fract_y
_atom_site_fract_z
Ca1 Ca 0.000 0.000 0.000
Ca2 Ca 0.750 0.250 0.500
Cu1 Cu 0.875 0.625 0.250
Cu2 Cu 0.375 0.625 0.250
Cu3 Cu 0.375 0.125 0.750
Cu4 Cu 0.375 0.625 0.750
O1 O 0.239 0.239 0.000
O2 O 0.511 0.011 0.500
O3 O 0.761 0.761 0.000
O4 O 0.989 0.489 0.500
```

---

# 8
First-principles (PBE-GGA) data for an optimized crystal structure of CaCu2O4, as listed in Alexandria.

Properties
**Polymorph energy (0 for the lowest one)**: 100 meV per atom
**Formation energy from raw total energies**: -1.205 eV per atom
**Volume**: 14.0 Å³ per atom
**Symmetry**: No. 141

Cell and atoms, written as CIF:
```
data_CaCu2O4
_symmetry_space_group_name_H-M 'P 1'
_symmetry_Int_Tables_number 1
_cell_length_a 7.501
_cell_length_b 7.501
_cell_length_c 7.501
_cell_angle_alpha 136.74
_cell_angle_beta 136.74
_cell_angle_gamma 62.84
loop_
_symmetry_equiv_pos_as_xyz
'x,y,z'
loop_
_atom_site_label
_atom_site_type_symbol
_atom_site_fract_x
_atom_site_fract_y
_atom_site_fract_z
Ca1 Ca 0.500 0.500 0.000
Ca2 Ca 0.250 0.750 0.500
Cu1 Cu 0.875 0.125 0.250
Cu2 Cu 0.375 0.125 0.250
Cu3 Cu 0.875 0.625 0.750
Cu4 Cu 0.875 0.125 0.750
O1 O 0.659 0.880 0.779
O2 O 0.120 0.900 0.779
O3 O 0.120 0.341 0.221
O4 O 0.091 0.370 0.721
O5 O 0.650 0.370 0.279
O6 O 0.630 0.350 0.721
O7 O 0.100 0.880 0.221
O8 O 0.630 0.909 0.279
```

---

# 9
First-principles (PBE-GGA) data for an optimized crystal structure of CaCu2O4, as listed in Alexandria.

Properties
**Polymorph energy (0 for the lowest one)**: 337 meV per atom
**Formation energy from raw total energies**: -0.968 eV per atom
**Volume**: 11.9 Å³ per atom
**Symmetry**: No. 74

Cell and atoms, written as CIF:
```
data_CaCu2O4
_symmetry_space_group_name_H-M 'P 1'
_symmetry_Int_Tables_number 1
_cell_length_a 6.164
_cell_length_b 6.164
_cell_length_c 6.164
_cell_angle_alpha 120.10
_cell_angle_beta 119.15
_cell_angle_gamma 90.65
loop_
_symmetry_equiv_pos_as_xyz
'x,y,z'
loop_
_atom_site_label
_atom_site_type_symbol
_atom_site_fract_x
_atom_site_fract_y
_atom_site_fract_z
Ca1 Ca 0.000 0.500 0.500
Ca2 Ca 0.500 0.500 0.000
Cu1 Cu 0.140 0.890 0.250
Cu2 Cu 0.860 0.110 0.750
Cu3 Cu 0.500 0.000 0.000
Cu4 Cu 0.500 0.500 0.500
O1 O 0.719 0.209 0.990
O2 O 0.723 0.235 0.488
O3 O 0.719 0.728 0.510
O4 O 0.247 0.235 0.012
O5 O 0.753 0.765 0.988
O6 O 0.277 0.765 0.512
O7 O 0.281 0.272 0.490
O8 O 0.281 0.791 0.010
```

---

# 10
First-principles (PBE-GGA) data for an optimized crystal structure of Ca3CuO4, as listed in Alexandria.

Properties
**Formation energy from raw total energies**: -2.267 eV per atom
**Volume**: 13.2 Å³ per atom
**Symmetry**: No. 123

Cell and atoms, written as CIF:
```
data_Ca3CuO4
_symmetry_space_group_name_H-M 'P 1'
_symmetry_Int_Tables_number 1
_cell_length_a 3.373
_cell_length_b 3.373
_cell_length_c 9.247
_cell_angle_alpha 90.00
_cell_angle_beta 90.00
_cell_angle_gamma 90.00
loop_
_symmetry_equiv_pos_as_xyz
'x,y,z'
loop_
_atom_site_label
_atom_site_type_symbol
_atom_site_fract_x
_atom_site_fract_y
_atom_site_fract_z
Ca1 Ca 0.500 0.500 0.765
Ca2 Ca 0.000 0.000 0.500
Ca3 Ca 0.500 0.500 0.235
O1 O 0.000 0.000 0.232
O2 O 0.500 0.500 0.000
O3 O 0.000 0.000 0.768
O4 O 0.500 0.500 0.500
Cu1 Cu 0.000 0.000 0.000
```

---

# 11
First-principles (PBE-GGA) data for an optimized crystal structure of CaCu2O3, as listed in Alexandria.

Properties
**Formation energy from raw total energies**: -1.376 eV per atom
**Volume**: 12.7 Å³ per atom
**Symmetry**: No. 59

Cell and atoms, written as CIF:
```
data_CaCu2O3
_symmetry_space_group_name_H-M 'P 1'
_symmetry_Int_Tables_number 1
_cell_length_a 3.659
_cell_length_b 4.150
_cell_length_c 10.060
_cell_angle_alpha 90.00
_cell_angle_beta 90.00
_cell_angle_gamma 90.00
loop_
_symmetry_equiv_pos_as_xyz
'x,y,z'
loop_
_atom_site_label
_atom_site_type_symbol
_atom_site_fract_x
_atom_site_fract_y
_atom_site_fract_z
Ca1 Ca 0.398 0.000 0.000
Ca2 Ca 0.602 0.500 0.500
Cu1 Cu 0.115 0.000 0.664
Cu2 Cu 0.115 0.000 0.336
Cu3 Cu 0.885 0.500 0.836
Cu4 Cu 0.885 0.500 0.164
O1 O 0.641 0.500 0.000
O2 O 0.359 0.000 0.500
O3 O 0.916 0.000 0.163
O4 O 0.084 0.500 0.663
O5 O 0.084 0.500 0.337
O6 O 0.916 0.000 0.837
```

---

# 12
First-principles (PBE-GGA) data for an optimized crystal structure of CaCu2O2, as listed in Alexandria.

Properties
**Polymorph energy (0 for the lowest one)**: 175 meV per atom
**Formation energy from raw total energies**: -1.222 eV per atom
**Volume**: 14.4 Å³ per atom
**Symmetry**: No. 15

Cell and atoms, written as CIF:
```
data_CaCu2O2
_symmetry_space_group_name_H-M 'P 1'
_symmetry_Int_Tables_number 1
_cell_length_a 6.634
_cell_length_b 6.634
_cell_length_c 4.663
_cell_angle_alpha 104.61
_cell_angle_beta 104.61
_cell_angle_gamma 123.68
loop_
_symmetry_equiv_pos_as_xyz
'x,y,z'
loop_
_atom_site_label
_atom_site_type_symbol
_atom_site_fract_x
_atom_site_fract_y
_atom_site_fract_z
Ca1 Ca 0.135 0.865 0.250
Ca2 Ca 0.865 0.135 0.750
Cu1 Cu 0.727 0.565 0.565
Cu2 Cu 0.435 0.273 0.935
Cu3 Cu 0.565 0.727 0.065
Cu4 Cu 0.273 0.435 0.435
O1 O 0.329 0.671 0.250
O2 O 0.920 0.080 0.250
O3 O 0.080 0.920 0.750
O4 O 0.671 0.329 0.750
```